(1)
Ca2Tl2O: optimized geometry, PBE.

CIF file:
```
data_Ca2Tl2O
_space_group_name_H-M_alt 'P 1'
_space_group_IT_number 1
_cell_length_a 6.5485
_cell_length_b 6.5485
_cell_length_c 6.1632
_cell_angle_alpha 90.00
_cell_angle_beta 90.00
_cell_angle_gamma 90.00
loop_
_space_group_symop_operation_xyz
'x,y,z'
loop_
_atom_site_label
_atom_site_type_symbol
_atom_site_fract_x
_atom_site_fract_y
_atom_site_fract_z
Ca1 Ca 0.2099 0.2901 0.0000
Ca2 Ca 0.2901 0.7901 0.0000
Ca3 Ca 0.7099 0.2099 0.0000
Ca4 Ca 0.7901 0.7099 0.0000
Tl1 Tl 0.1602 0.6602 0.5000
Tl2 Tl 0.3398 0.1602 0.5000
Tl3 Tl 0.6602 0.8398 0.5000
Tl4 Tl 0.8398 0.3398 0.5000
O1 O 0.0000 0.0000 0.0000
O2 O 0.5000 0.5000 0.0000
```

## Properties
Crystal system: tetragonal
Size of the total moment: 0.00 Bohr magnetons per cell
DFT total energy: -3.70 eV/atom
Space group: P4/mbm (127)
Raw formation energy: -0.96 eV/atom

---

(2)
Ca4Tl2O: optimized geometry, PBE.

CIF file:
```
data_Ca4Tl2O
_space_group_name_H-M_alt 'P 1'
_space_group_IT_number 1
_cell_length_a 8.9036
_cell_length_b 8.9036
_cell_length_c 8.9036
_cell_angle_alpha 148.53
_cell_angle_beta 148.53
_cell_angle_gamma 45.10
loop_
_space_group_symop_operation_xyz
'x,y,z'
loop_
_atom_site_label
_atom_site_type_symbol
_atom_site_fract_x
_atom_site_fract_y
_atom_site_fract_z
Ca1 Ca 0.0000 0.5000 0.5000
Ca2 Ca 0.1653 0.1653 0.0000
Ca3 Ca 0.5000 0.0000 0.5000
Ca4 Ca 0.8347 0.8347 0.0000
Tl1 Tl 0.3625 0.3625 0.0000
Tl2 Tl 0.6375 0.6375 0.0000
O1 O 0.0000 0.0000 0.0000
```

## Properties
Crystal system: tetragonal
Size of the total moment: 0.00 Bohr magnetons per cell
DFT total energy: -3.51 eV/atom
Space group: I4/mmm (139)
Raw formation energy: -0.98 eV/atom

---

(3)
Ca3TlO: optimized geometry, PBE.

CIF file:
```
data_Ca3TlO
_space_group_name_H-M_alt 'P 1'
_space_group_IT_number 1
_cell_length_a 6.8008
_cell_length_b 6.9397
_cell_length_c 7.1323
_cell_angle_alpha 94.96
_cell_angle_beta 115.72
_cell_angle_gamma 98.89
loop_
_space_group_symop_operation_xyz
'x,y,z'
loop_
_atom_site_label
_atom_site_type_symbol
_atom_site_fract_x
_atom_site_fract_y
_atom_site_fract_z
Ca1 Ca 0.0330 0.2205 0.3336
Ca2 Ca 0.1530 0.3891 0.9144
Ca3 Ca 0.4216 0.8693 0.2215
Ca4 Ca 0.5784 0.1307 0.7785
Ca5 Ca 0.8470 0.6109 0.0856
Ca6 Ca 0.9670 0.7795 0.6664
Tl1 Tl 0.4052 0.6368 0.6313
Tl2 Tl 0.5948 0.3632 0.3687
O1 O 0.1045 0.6990 0.9776
O2 O 0.8955 0.3010 0.0224
```

## Properties
Crystal system: triclinic
Size of the total moment: 0.00 Bohr magnetons per cell
DFT total energy: -3.96 eV/atom
Space group: P-1 (2)
Raw formation energy: -1.29 eV/atom

---

(4)
Ca3TlO: optimized geometry, PBE.

CIF file:
```
data_Ca3TlO
_space_group_name_H-M_alt 'P 1'
_space_group_IT_number 1
_cell_length_a 7.7896
_cell_length_b 7.7896
_cell_length_c 7.7896
_cell_angle_alpha 128.60
_cell_angle_beta 128.60
_cell_angle_gamma 75.66
loop_
_space_group_symop_operation_xyz
'x,y,z'
loop_
_atom_site_label
_atom_site_type_symbol
_atom_site_fract_x
_atom_site_fract_y
_atom_site_fract_z
Ca1 Ca 0.1345 0.1345 0.0000
Ca2 Ca 0.3581 0.6121 0.7460
Ca3 Ca 0.3879 0.1339 0.7460
Ca4 Ca 0.3879 0.6419 0.2540
Ca5 Ca 0.8661 0.6121 0.2540
Ca6 Ca 0.8655 0.8655 0.0000
Tl1 Tl 0.6234 0.1234 0.5000
Tl2 Tl 0.8766 0.3766 0.5000
O1 O 0.2500 0.7500 0.5000
O2 O 0.5000 0.5000 0.0000
```

## Properties
Crystal system: tetragonal
Size of the total moment: 0.00 Bohr magnetons per cell
DFT total energy: -3.72 eV/atom
Space group: I-4m2 (119)
Raw formation energy: -1.06 eV/atom

---

(5)
Ca3TlO: optimized geometry, PBE.

CIF file:
```
data_Ca3TlO
_space_group_name_H-M_alt 'P 1'
_space_group_IT_number 1
_cell_length_a 6.8435
_cell_length_b 6.8435
_cell_length_c 6.6405
_cell_angle_alpha 94.44
_cell_angle_beta 94.44
_cell_angle_gamma 119.35
loop_
_space_group_symop_operation_xyz
'x,y,z'
loop_
_atom_site_label
_atom_site_type_symbol
_atom_site_fract_x
_atom_site_fract_y
_atom_site_fract_z
Ca1 Ca 0.1930 0.2527 0.9941
Ca2 Ca 0.2384 0.7616 0.7500
Ca3 Ca 0.2527 0.1930 0.4941
Ca4 Ca 0.7473 0.8070 0.5059
Ca5 Ca 0.7616 0.2384 0.2500
Ca6 Ca 0.8070 0.7473 0.0059
Tl1 Tl 0.2747 0.7253 0.2500
Tl2 Tl 0.7253 0.2747 0.7500
O1 O 0.0483 0.9517 0.7500
O2 O 0.9517 0.0483 0.2500
```

## Properties
Crystal system: monoclinic
Size of the total moment: 0.00 Bohr magnetons per cell
DFT total energy: -3.96 eV/atom
Space group: C2/c (15)
Raw formation energy: -1.30 eV/atom

---

(6)
CaTlO2: optimized geometry, PBE.

CIF file:
```
data_CaTlO2
_space_group_name_H-M_alt 'P 1'
_space_group_IT_number 1
_cell_length_a 6.4610
_cell_length_b 6.4610
_cell_length_c 6.4610
_cell_angle_alpha 31.00
_cell_angle_beta 31.00
_cell_angle_gamma 31.00
loop_
_space_group_symop_operation_xyz
'x,y,z'
loop_
_atom_site_label
_atom_site_type_symbol
_atom_site_fract_x
_atom_site_fract_y
_atom_site_fract_z
Ca1 Ca 0.0000 0.0000 0.0000
Tl1 Tl 0.8303 0.8303 0.8303
O1 O 0.2579 0.2579 0.2579
O2 O 0.4070 0.4070 0.4070
```

## Properties
Crystal system: trigonal
Size of the total moment: 0.00 Bohr magnetons per cell
DFT total energy: -5.10 eV/atom
Space group: R3m (160)
Raw formation energy: -1.53 eV/atom

---

(7)
CaTm2TlO6: optimized geometry, PBE.

CIF file:
```
data_CaTm2TlO6
_space_group_name_H-M_alt 'P 1'
_space_group_IT_number 1
_cell_length_a 6.0902
_cell_length_b 6.0902
_cell_length_c 6.0902
_cell_angle_alpha 56.60
_cell_angle_beta 56.60
_cell_angle_gamma 56.60
loop_
_space_group_symop_operation_xyz
'x,y,z'
loop_
_atom_site_label
_atom_site_type_symbol
_atom_site_fract_x
_atom_site_fract_y
_atom_site_fract_z
Ca1 Ca 0.0000 0.0000 0.0000
Tm1 Tm 0.2158 0.2158 0.2158
Tm2 Tm 0.7174 0.7174 0.7174
Tl1 Tl 0.5047 0.5047 0.5047
O1 O 0.1052 0.4185 0.8229
O2 O 0.3414 0.9198 0.5869
O3 O 0.4185 0.8229 0.1052
O4 O 0.5869 0.3414 0.9198
O5 O 0.8229 0.1052 0.4185
O6 O 0.9198 0.5869 0.3414
```

## Properties
Crystal system: trigonal
Size of the total moment: 1.10 Bohr magnetons per cell
DFT total energy: -6.78 eV/atom
Space group: R3 (146)
Raw formation energy: -2.47 eV/atom

---

(8)
CaUTl2O8: optimized geometry, PBE.

CIF file:
```
data_CaUTl2O8
_space_group_name_H-M_alt 'P 1'
_space_group_IT_number 1
_cell_length_a 4.5906
_cell_length_b 7.1820
_cell_length_c 5.4001
_cell_angle_alpha 90.00
_cell_angle_beta 94.18
_cell_angle_gamma 90.00
loop_
_space_group_symop_operation_xyz
'x,y,z'
loop_
_atom_site_label
_atom_site_type_symbol
_atom_site_fract_x
_atom_site_fract_y
_atom_site_fract_z
Ca1 Ca 0.0000 0.0000 0.0000
U1 U 0.0000 0.5000 0.0000
Tl1 Tl 0.5000 0.2584 0.5000
Tl2 Tl 0.5000 0.7416 0.5000
O1 O 0.1379 0.0000 0.5773
O2 O 0.2388 0.2675 0.1567
O3 O 0.2388 0.7325 0.1567
O4 O 0.2424 0.5000 0.7003
O5 O 0.7576 0.5000 0.2997
O6 O 0.7612 0.2675 0.8433
O7 O 0.7612 0.7325 0.8433
O8 O 0.8621 0.0000 0.4227
```

## Properties
Crystal system: monoclinic
Size of the total moment: 0.00 Bohr magnetons per cell
DFT total energy: -6.52 eV/atom
Space group: P2/m (10)
Raw formation energy: -1.72 eV/atom

---

(9)
CaUTl2O6: optimized geometry, PBE.

CIF file:
```
data_CaUTl2O6
_space_group_name_H-M_alt 'P 1'
_space_group_IT_number 1
_cell_length_a 5.8471
_cell_length_b 6.1050
_cell_length_c 10.4349
_cell_angle_alpha 90.00
_cell_angle_beta 122.88
_cell_angle_gamma 90.00
loop_
_space_group_symop_operation_xyz
'x,y,z'
loop_
_atom_site_label
_atom_site_type_symbol
_atom_site_fract_x
_atom_site_fract_y
_atom_site_fract_z
Ca1 Ca 0.0000 0.0000 0.0000
Ca2 Ca 0.0000 0.5000 0.5000
U1 U 0.5000 0.0000 0.5000
U2 U 0.5000 0.5000 0.0000
Tl1 Tl 0.2539 0.0448 0.7521
Tl2 Tl 0.2539 0.4552 0.2521
Tl3 Tl 0.7461 0.5448 0.7479
Tl4 Tl 0.7461 0.9552 0.2479
O1 O 0.1471 0.0591 0.2631
O2 O 0.1471 0.4409 0.7631
O3 O 0.2565 0.6720 0.0505
O4 O 0.2565 0.8280 0.5505
O5 O 0.3971 0.2102 0.0609
O6 O 0.3971 0.2898 0.5609
O7 O 0.6029 0.7102 0.4391
O8 O 0.6029 0.7898 0.9391
O9 O 0.7435 0.1720 0.4495
O10 O 0.7435 0.3280 0.9495
O11 O 0.8529 0.5591 0.2369
O12 O 0.8529 0.9409 0.7369
```

## Properties
Crystal system: monoclinic
Size of the total moment: 0.00 Bohr magnetons per cell
DFT total energy: -6.82 eV/atom
Space group: P2_1/c (14)
Raw formation energy: -2.05 eV/atom

---

(10)
Ca2UTl2O6: optimized geometry, PBE.

CIF file:
```
data_Ca2UTl2O6
_space_group_name_H-M_alt 'P 1'
_space_group_IT_number 1
_cell_length_a 6.0211
_cell_length_b 6.0211
_cell_length_c 6.8116
_cell_angle_alpha 99.01
_cell_angle_beta 99.01
_cell_angle_gamma 119.15
loop_
_space_group_symop_operation_xyz
'x,y,z'
loop_
_atom_site_label
_atom_site_type_symbol
_atom_site_fract_x
_atom_site_fract_y
_atom_site_fract_z
Ca1 Ca 0.1649 0.8351 0.0000
Ca2 Ca 0.8351 0.1649 0.0000
U1 U 0.5000 0.5000 0.0000
Tl1 Tl 0.3293 0.6707 0.5000
Tl2 Tl 0.6707 0.3293 0.5000
O1 O 0.1452 0.4470 0.8345
O2 O 0.2668 0.2668 0.1752
O3 O 0.4470 0.1452 0.8345
O4 O 0.5530 0.8548 0.1655
O5 O 0.7332 0.7332 0.8248
O6 O 0.8548 0.5530 0.1655
```

## Properties
Crystal system: monoclinic
Size of the total moment: 0.00 Bohr magnetons per cell
DFT total energy: -6.98 eV/atom
Space group: C2/m (12)
Raw formation energy: -2.46 eV/atom

---

- Number 7 is which compound?
  CaTm2TlO6

---

What did the tenth record say?
Ca2UTl2O6: optimized geometry, PBE.

CIF file:
```
data_Ca2UTl2O6
_space_group_name_H-M_alt 'P 1'
_space_group_IT_number 1
_cell_length_a 6.0211
_cell_length_b 6.0211
_cell_length_c 6.8116
_cell_angle_alpha 99.01
_cell_angle_beta 99.01
_cell_angle_gamma 119.15
loop_
_space_group_symop_operation_xyz
'x,y,z'
loop_
_atom_site_label
_atom_site_type_symbol
_atom_site_fract_x
_atom_site_fract_y
_atom_site_fract_z
Ca1 Ca 0.1649 0.8351 0.0000
Ca2 Ca 0.8351 0.1649 0.0000
U1 U 0.5000 0.5000 0.0000
Tl1 Tl 0.3293 0.6707 0.5000
Tl2 Tl 0.6707 0.3293 0.5000
O1 O 0.1452 0.4470 0.8345
O2 O 0.2668 0.2668 0.1752
O3 O 0.4470 0.1452 0.8345
O4 O 0.5530 0.8548 0.1655
O5 O 0.7332 0.7332 0.8248
O6 O 0.8548 0.5530 0.1655
```

## Properties
Crystal system: monoclinic
Size of the total moment: 0.00 Bohr magnetons per cell
DFT total energy: -6.98 eV/atom
Space group: C2/m (12)
Raw formation energy: -2.46 eV/atom

---

- Among the records above, which one has the lowest DFT total energy?
  Ca2UTl2O6

---

- Among the records above, which one has the highest DFT total energy?
  Ca4Tl2O